No. 1
# LiAgOs2 PBE optimized geometry
# - Final energy: -6.351 eV/atom
data_LiAgOs2
_space_group_name_H-M_alt 'F -4 3 m'
_space_group_IT_number 216
_space_group_name_Hall 'F -4 2 3'
_cell_length_a 6.1359
_cell_length_b 6.1359
_cell_length_c 6.1359
_cell_angle_alpha 90.00
_cell_angle_beta 90.00
_cell_angle_gamma 90.00
loop_
_atom_site_label
_atom_site_fract_x
_atom_site_fract_y
_atom_site_fract_z
Li1 0.0000 0.0000 0.0000
Ag1 0.2500 0.2500 0.7500
Os1 0.0000 0.0000 0.5000
Os2 0.2500 0.2500 0.2500

=====

No. 2
# LiAgOs2 PBE optimized geometry
# - Final energy: -6.220 eV/atom
data_LiAgOs2
_space_group_name_H-M_alt 'I 4/m m m'
_space_group_IT_number 139
_space_group_name_Hall '-I 4 2'
_cell_length_a 3.6154
_cell_length_b 3.6154
_cell_length_c 9.1341
_cell_angle_alpha 90.00
_cell_angle_beta 90.00
_cell_angle_gamma 90.00
loop_
_atom_site_label
_atom_site_fract_x
_atom_site_fract_y
_atom_site_fract_z
Li1 0.0000 0.0000 0.0000
Ag1 0.0000 0.0000 0.5000
Os1 0.0000 0.5000 0.2500

=====

No. 3
# LiAgOs2 PBE optimized geometry
# - Final energy: -5.748 eV/atom
data_LiAgOs2
_space_group_name_H-M_alt 'F m -3 m'
_space_group_IT_number 225
_space_group_name_Hall '-F 4 2 3'
_cell_length_a 6.1177
_cell_length_b 6.1177
_cell_length_c 6.1177
_cell_angle_alpha 90.00
_cell_angle_beta 90.00
_cell_angle_gamma 90.00
loop_
_atom_site_label
_atom_site_fract_x
_atom_site_fract_y
_atom_site_fract_z
Li1 0.0000 0.0000 0.0000
Ag1 0.0000 0.0000 0.5000
Os1 0.2500 0.2500 0.2500

=====

| no. | N(E_F) (states/eV per cell) | formation energy (eV per atom) |
| --- | --- | --- |
| 1 | 8.953 | 0.4551 |
| 2 | 9.589 | 0.5864 |
| 3 | 26.366 | 1.0577 |